## NdMgSnPt (PBE)

Data for a relaxed structure of NdMgSnPt.

Lattice parameters (Å, degrees): 5.048 5.048 5.048 60.00 60.00 60.00
Sites, in units of the cell vectors:
1 Pt 0.750 0.750 0.750
2 Nd 0.000 0.000 0.000
3 Sn 0.250 0.250 0.250
4 Mg 0.500 0.500 0.500

Output
As for the symmetry: F-43m. Its formation enthalpy at 0 K is -0.64 eV per atom.



## Nd2MgSnPt6 (PBE)

Data for a relaxed structure of Nd2MgSnPt6.

Lattice parameters (Å, degrees): 9.062 5.624 9.061 71.93 36.15 90.01
Sites, in units of the cell vectors:
1 Pt 0.752 0.746 0.508
2 Pt 0.254 0.746 0.005
3 Pt 0.746 0.752 0.995
4 Pt 0.746 0.254 0.995
5 Pt 0.248 0.254 0.492
6 Pt 0.254 0.248 0.005
7 Sn 0.000 0.000 0.000
8 Mg 0.500 0.500 0.000
9 Nd 0.204 0.796 0.407
10 Nd 0.796 0.204 0.593

Output
As for the symmetry: R-3m. Its formation enthalpy at 0 K is -0.72 eV per atom.



## NdMgTlPt (PBE)

Data for a relaxed structure of NdMgTlPt.

Lattice parameters (Å, degrees): 5.065 5.065 5.065 60.00 60.00 60.00
Sites, in units of the cell vectors:
1 Nd 0.750 0.750 0.750
2 Tl 0.500 0.500 0.500
3 Pt 0.000 0.000 0.000
4 Mg 0.250 0.250 0.250

Output
As for the symmetry: F-43m. Its formation enthalpy at 0 K is -0.56 eV per atom.



## NdTmMgPt (PBE)

Data for a relaxed structure of NdTmMgPt.

Lattice parameters (Å, degrees): 5.139 5.139 5.139 60.00 60.00 60.00
Sites, in units of the cell vectors:
1 Nd 0.000 0.000 0.000
2 Tm 0.500 0.500 0.500
3 Mg 0.750 0.750 0.750
4 Pt 0.250 0.250 0.250

Output
As for the symmetry: F-43m. Its formation enthalpy at 0 K is -0.55 eV per atom.



## NdMgZnPt (PBE)

Data for a relaxed structure of NdMgZnPt.

Lattice parameters (Å, degrees): 4.897 4.897 4.897 60.00 60.00 60.00
Sites, in units of the cell vectors:
1 Nd 0.000 0.000 0.000
2 Zn 0.250 0.250 0.250
3 Mg 0.500 0.500 0.500
4 Pt 0.750 0.750 0.750

Output
As for the symmetry: F-43m. Its formation enthalpy at 0 K is -0.63 eV per atom.



## Nd2MgZn3Pt4 (PBE)

Data for a relaxed structure of Nd2MgZn3Pt4.

Lattice parameters (Å, degrees): 4.149 4.149 11.319 90.00 90.00 90.00
Sites, in units of the cell vectors:
1 Pt 0.000 0.500 0.352
2 Pt 0.500 0.000 0.648
3 Pt 0.000 0.000 0.000
4 Pt 0.500 0.500 0.000
5 Zn 0.000 0.500 0.130
6 Zn 0.500 0.000 0.870
7 Zn 0.000 0.000 0.500
8 Mg 0.500 0.500 0.500
9 Nd 0.000 0.500 0.763
10 Nd 0.500 0.000 0.237

Output
As for the symmetry: P-4m2. Its formation enthalpy at 0 K is -0.79 eV per atom.



## NdMgZn2Pt2 (PBE)

Data for a relaxed structure of NdMgZn2Pt2.

Lattice parameters (Å, degrees): 4.434 4.434 6.732 90.00 90.00 120.00
Sites, in units of the cell vectors:
1 Pt 0.333 0.667 0.715
2 Pt 0.667 0.333 0.285
3 Zn 0.333 0.667 0.306
4 Zn 0.667 0.333 0.694
5 Nd 0.000 0.000 0.000
6 Mg 0.000 0.000 0.500

Output
As for the symmetry: P-3m1. Its formation enthalpy at 0 K is -0.78 eV per atom.



## NdMgZnPt2 (PBE)

Data for a relaxed structure of NdMgZnPt2.

Lattice parameters (Å, degrees): 4.002 4.002 6.867 106.94 106.94 90.00
Sites, in units of the cell vectors:
1 Nd 0.000 0.000 0.000
2 Pt 0.610 0.610 0.219
3 Pt 0.390 0.390 0.781
4 Zn 0.250 0.750 0.500
5 Mg 0.750 0.250 0.500

Output
As for the symmetry: I-4m2. Its formation enthalpy at 0 K is -0.86 eV per atom.



## Nd2MgZn4Pt3 (PBE)

Data for a relaxed structure of Nd2MgZn4Pt3.

Lattice parameters (Å, degrees): 4.023 4.023 12.103 90.00 90.00 90.00
Sites, in units of the cell vectors:
1 Zn 0.500 0.000 0.644
2 Zn 0.000 0.000 0.000
3 Zn 0.500 0.500 0.000
4 Zn 0.000 0.500 0.356
5 Mg 0.500 0.500 0.500
6 Pt 0.500 0.000 0.858
7 Pt 0.000 0.000 0.500
8 Pt 0.000 0.500 0.142
9 Nd 0.000 0.500 0.764
10 Nd 0.500 0.000 0.236

Output
As for the symmetry: P-4m2. Its formation enthalpy at 0 K is -0.71 eV per atom.



## NdPuMg2 (PBE)

Data for a relaxed structure of NdPuMg2.

Lattice parameters (Å, degrees): 4.929 4.750 4.750 90.00 90.00 90.00
Sites, in units of the cell vectors:
1 Mg 0.000 0.500 0.000
2 Mg 0.000 0.000 0.500
3 Pu 0.500 0.500 0.500
4 Nd 0.500 0.000 0.000

Output
As for the symmetry: P4/mmm. Its formation enthalpy at 0 K is 0.11 eV per atom. The value obtained for the distance to the lowest polymorph of the same formula is 0.036 eV per atom.



## Nd4PuMg5 (PBE)

Data for a relaxed structure of Nd4PuMg5.

Lattice parameters (Å, degrees): 3.866 3.866 19.351 90.00 90.00 90.00
Sites, in units of the cell vectors:
1 Pu 0.000 0.000 0.000
2 Nd 0.000 0.000 0.399
3 Nd 0.000 0.000 0.803
4 Nd 0.000 0.000 0.197
5 Nd 0.000 0.000 0.601
6 Mg 0.500 0.500 0.702
7 Mg 0.500 0.500 0.298
8 Mg 0.500 0.500 0.903
9 Mg 0.500 0.500 0.097
10 Mg 0.500 0.500 0.500

Output
As for the symmetry: P4/mmm. Its formation enthalpy at 0 K is -0.03 eV per atom.



## NdPuMg2 (PBE)

Data for a relaxed structure of NdPuMg2.

Lattice parameters (Å, degrees): 5.444 5.444 5.444 60.00 60.00 60.00
Sites, in units of the cell vectors:
1 Mg 0.250 0.250 0.250
2 Mg 0.750 0.750 0.750
3 Nd 0.500 0.500 0.500
4 Pu 0.000 0.000 0.000

Output
As for the symmetry: Fm-3m. Its formation enthalpy at 0 K is 0.10 eV per atom. The value obtained for the distance to the lowest polymorph of the same formula is 0.025 eV per atom.



## NdPu2Mg (PBE)

Data for a relaxed structure of NdPu2Mg.

Lattice parameters (Å, degrees): 3.277 3.277 10.486 90.00 90.00 90.00
Sites, in units of the cell vectors:
1 Mg 0.500 0.500 0.000
2 Pu 0.000 0.000 0.238
3 Pu 0.000 0.000 0.762
4 Nd 0.500 0.500 0.500

Output
As for the symmetry: P4/mmm. Its formation enthalpy at 0 K is 0.22 eV per atom. The value obtained for the distance to the lowest polymorph of the same formula is 0.045 eV per atom.



## NdPu2Mg (PBE)

Data for a relaxed structure of NdPu2Mg.

Lattice parameters (Å, degrees): 5.280 4.613 4.613 90.00 90.00 90.00
Sites, in units of the cell vectors:
1 Mg 0.500 0.500 0.500
2 Pu 0.000 0.000 0.500
3 Pu 0.000 0.500 0.000
4 Nd 0.500 0.000 0.000

Output
As for the symmetry: P4/mmm. Its formation enthalpy at 0 K is 0.18 eV per atom. The value obtained for the distance to the lowest polymorph of the same formula is 0.000 eV per atom.



## NdPuMg2 (PBE)

Data for a relaxed structure of NdPuMg2.

Lattice parameters (Å, degrees): 3.281 3.281 10.133 90.00 90.00 90.00
Sites, in units of the cell vectors:
1 Nd 0.500 0.500 0.500
2 Pu 0.500 0.500 0.000
3 Mg 0.000 0.000 0.246
4 Mg 0.000 0.000 0.754

Output
As for the symmetry: P4/mmm. Its formation enthalpy at 0 K is 0.08 eV per atom. The value obtained for the distance to the lowest polymorph of the same formula is 0.000 eV per atom.



## NdPuMg (PBE)

Data for a relaxed structure of NdPuMg.

Lattice parameters (Å, degrees): 3.396 3.396 7.880 102.44 102.44 90.00
Sites, in units of the cell vectors:
1 Mg 0.669 0.669 0.338
2 Pu 0.328 0.328 0.656
3 Nd 0.003 0.003 0.006

Output
As for the symmetry: I4mm. Its formation enthalpy at 0 K is 0.13 eV per atom. The value obtained for the distance to the lowest polymorph of the same formula is 0.000 eV per atom.



## NdPuMg (PBE)

Data for a relaxed structure of NdPuMg.

Lattice parameters (Å, degrees): 3.227 5.525 5.525 120.00 90.00 90.00
Sites, in units of the cell vectors:
1 Nd 0.638 0.667 0.333
2 Mg 0.323 0.333 0.667
3 Pu 0.039 0.000 0.000

Output
As for the symmetry: P3m1. Its formation enthalpy at 0 K is 0.16 eV per atom. The value obtained for the distance to the lowest polymorph of the same formula is 0.033 eV per atom.



## NdPuMgSc (PBE)

Data for a relaxed structure of NdPuMgSc.

Lattice parameters (Å, degrees): 5.409 5.409 5.409 60.00 60.00 60.00
Sites, in units of the cell vectors:
1 Mg 0.500 0.500 0.500
2 Pu 0.250 0.250 0.250
3 Nd 0.750 0.750 0.750
4 Sc 0.000 0.000 0.000

Output
As for the symmetry: F-43m. Its formation enthalpy at 0 K is 0.16 eV per atom.



## NdPuMgSi (PBE)

Data for a relaxed structure of NdPuMgSi.

Lattice parameters (Å, degrees): 5.176 5.176 5.176 60.00 60.00 60.00
Sites, in units of the cell vectors:
1 Nd 0.500 0.500 0.500
2 Si 0.750 0.750 0.750
3 Pu 0.000 0.000 0.000
4 Mg 0.250 0.250 0.250

Output
As for the symmetry: F-43m. Its total energy is -0.24452 hartree per atom.



## NdSmPuMg (PBE)

Data for a relaxed structure of NdSmPuMg.

Lattice parameters (Å, degrees): 5.553 5.553 5.553 60.00 60.00 60.00
Sites, in units of the cell vectors:
1 Sm 0.750 0.750 0.750
2 Pu 0.500 0.500 0.500
3 Mg 0.000 0.000 0.000
4 Nd 0.250 0.250 0.250

Output
As for the symmetry: F-43m. Its formation enthalpy at 0 K is 0.15 eV per atom.



Number 1: calculated density 8.806 g/cm3. Number 2: calculated density 11.482 g/cm3. Number 3: calculated density 10.263 g/cm3. Number 4: calculated density 9.215 g/cm3. Number 5: calculated density 8.577 g/cm3. Number 6: calculated density 10.986 g/cm3. Number 7: calculated density 9.989 g/cm3. Number 8: calculated density 10.342 g/cm3. Number 9: calculated density 9.830 g/cm3. Number 10: calculated density 6.523 g/cm3. Number 11: calculated density 5.411 g/cm3. Number 12: calculated density 6.357 g/cm3. Number 13: calculated density 9.681 g/cm3. Number 14: calculated density 9.702 g/cm3. Number 15: calculated density 6.650 g/cm3. Number 16: calculated density 7.913 g/cm3. Number 17: calculated density 8.030 g/cm3. Number 18: calculated density 6.789 g/cm3. Number 19: calculated density 7.462 g/cm3. Number 20: calculated density 7.721 g/cm3.